(A)
Here is CdHgPtPb2 after structural relaxation from the Alexandria database. Energies are from PBE.

Geometry as POSCAR:
```
CdHgPtPb2
1.0
5.576 0.000 0.000
0.000 5.576 0.000
0.000 0.000 5.174
Cd Hg Pt Pb
1 1 1 2
direct
0.000 0.000 0.000
0.000 0.000 0.500
0.500 0.500 0.500
0.000 0.500 0.000
0.500 0.000 0.000
```



(B)
Here is CdHgPtPb2 after structural relaxation from the Alexandria database. Energies are from PBE.

Geometry as POSCAR:
```
CdHgPtPb2
1.0
5.399 0.000 0.000
0.000 5.399 0.000
0.000 0.000 5.291
Cd Hg Pt Pb
1 1 1 2
direct
0.000 0.000 0.000
0.500 0.500 0.000
0.000 0.000 0.500
0.000 0.500 0.500
0.500 0.000 0.500
```



The structure with the greatest stability is (B).



(A)
Here is RbCdHg2Pb after structural relaxation from the Alexandria database. Energies are from PBE.

Geometry as POSCAR:
```
RbCdHg2Pb
1.0
5.746 0.000 0.000
0.000 5.746 0.000
0.000 0.000 5.771
Rb Cd Hg Pb
1 1 2 1
direct
0.000 0.000 0.000
0.500 0.500 0.500
0.000 0.500 0.500
0.500 0.000 0.500
0.500 0.500 0.000
```



(B)
Here is RbCdHg2Pb after structural relaxation from the Alexandria database. Energies are from PBE.

Geometry as POSCAR:
```
RbCdHg2Pb
1.0
6.170 0.000 0.000
0.000 6.170 0.000
0.000 0.000 5.670
Rb Cd Hg Pb
1 1 2 1
direct
0.000 0.000 0.000
0.500 0.500 0.000
0.000 0.500 0.500
0.500 0.000 0.500
0.500 0.500 0.500
```



The structure with the greatest stability is (B).



(A)
Here is SmCdHgPb after structural relaxation from the Alexandria database. Energies are from PBE.

Geometry as POSCAR:
```
SmCdHgPb
1.0
4.506 0.000 0.000
0.000 4.691 0.000
0.000 0.000 4.928
Sm Cd Hg Pb
1 1 1 1
direct
0.000 0.000 0.000
0.000 0.500 0.500
0.500 0.000 0.500
0.500 0.500 0.000
```



(B)
Here is SmCdHgPb after structural relaxation from the Alexandria database. Energies are from PBE.

Geometry as POSCAR:
```
SmCdHgPb
1.0
0.000 3.759 3.759
3.759 0.000 3.759
3.759 3.759 0.000
Sm Cd Hg Pb
1 1 1 1
direct
0.000 0.000 0.000
0.500 0.500 0.500
0.750 0.750 0.750
0.250 0.250 0.250
```



The structure with the greatest stability is (A).



(A)
Here is CdSnHgPb after structural relaxation from the Alexandria database. Energies are from PBE.

Geometry as POSCAR:
```
CdSnHgPb
1.0
0.000 3.798 3.798
3.798 0.000 3.798
3.798 3.798 0.000
Cd Sn Hg Pb
1 1 1 1
direct
0.000 0.000 0.000
0.750 0.750 0.750
0.250 0.250 0.250
0.500 0.500 0.500
```



(B)
Here is CdSnHgPb after structural relaxation from the Alexandria database. Energies are from PBE.

Geometry as POSCAR:
```
CdSnHgPb
1.0
3.444 0.000 0.000
0.000 3.444 0.000
0.000 0.000 9.002
Cd Sn Hg Pb
1 1 1 1
direct
0.000 0.000 0.000
0.500 0.500 0.242
0.500 0.500 0.781
0.000 0.000 0.513
```



The structure with the greatest stability is (B).